Density functional theory data (PBE+U) for a relaxed structure of CoPdSeO.

Calculated values
total energy	-4.9367	eV/atom
crystal system	orthorhombic

Cell and atoms, written as CIF:
```
data_CoPdSeO
_chemical_formula_sum 'Co4 Pd4 Se4 O4'
_symmetry_space_group_name_H-M 'P 21 21 21'
_symmetry_Int_Tables_number 19
_symmetry_space_group_name_Hall 'P 2ac 2ab'
_cell_length_a 5.799
_cell_length_b 5.889
_cell_length_c 6.851
_cell_angle_alpha 90.00
_cell_angle_beta 90.00
_cell_angle_gamma 90.00
loop_
_atom_site_label
_atom_site_type_symbol
_atom_site_fract_x
_atom_site_fract_y
_atom_site_fract_z
Co1 Co 0.000 0.250 0.011
Pd1 Pd 0.000 0.250 0.503
Se1 Se 0.250 0.499 0.250
O1 O 0.249 0.027 0.996
```